(1)
YGeRu2C | Alexandria | PBE | optimized geometry; final energy = -82.542 eV/cell; ΔE_f = -2.41 eV per formula unit; space-group type = No. 63; total magnetization = 0.0 μB/f.u.
1.0
-3.4349 0.7806 -1.6221
0.6096 -5.8701 0.5199
-3.0709 0.2685 6.6319
Ru Ge Y C
4 2 2 2
direct
0.1616 0.3233 0.5569
0.8384 0.6767 0.4431
0.1616 0.3233 0.9431
0.8384 0.6767 0.0569
0.2665 0.5329 0.2500
0.7335 0.4671 0.7500
0.5456 0.0912 0.2500
0.4544 0.9088 0.7500
0.0000 0.0000 0.0000
0.0000 0.0000 0.5000



(2)
TaHgAs2O8 | Alexandria | PBE | optimized geometry; final energy = -78.663 eV/cell; space-group type = No. 12; total magnetization = 0.0 μB/f.u.
1.0
5.2652 -0.0469 -0.3372
2.3872 4.6932 -0.3372
-0.1738 -0.1055 8.5095
O As Hg Ta
8 2 1 1
direct
0.8047 0.3079 0.1627
0.7973 0.7973 0.0671
0.3079 0.8047 0.1627
0.2575 0.2575 0.6027
0.1953 0.6921 0.8373
0.2027 0.2027 0.9329
0.6921 0.1953 0.8373
0.7425 0.7425 0.3973
0.3300 0.3300 0.7925
0.6700 0.6700 0.2075
0.0000 0.0000 0.5000
0.0000 0.0000 0.0000



(3)
LiAl2Pd3 | Alexandria | PBE | optimized geometry; final energy = -59.818 eV/cell; ΔE_f = -4.93 eV per formula unit; space-group type = No. 65; total magnetization = 0.0 μB/f.u.
1.0
4.3179 0.0000 0.0172
2.1589 6.4878 0.0086
-0.0241 0.0000 6.0550
Pd Li Al
6 2 4
direct
0.8360 0.3281 0.2546
0.5000 0.0000 0.2523
0.1640 0.6719 0.7454
0.8359 0.3281 0.7454
0.1641 0.6719 0.2546
0.5000 0.0000 0.7477
0.3317 0.3366 0.0000
0.6683 0.6634 0.0000
0.0000 0.0000 0.0000
0.3321 0.3357 0.5000
0.6679 0.6643 0.5000
0.0000 0.0000 0.5000



(4)
Cs2Tl2PbF6 | Alexandria | PBE | optimized geometry; final energy = -45.808 eV/cell; space-group type = No. 12; total magnetization = 0.0 μB/f.u.
1.0
-1.2526 -2.9942 6.2694
6.3869 -0.1052 -2.7490
-1.9811 6.9724 2.9341
Cs F Tl Pb
2 6 2 1
direct
0.2924 0.5848 0.8777
0.7076 0.4152 0.1223
0.8173 0.1430 0.7621
0.3006 0.6012 0.5193
0.1827 0.8570 0.2379
0.6994 0.3988 0.4807
0.3258 0.1430 0.7621
0.6742 0.8570 0.2379
0.0826 0.1652 0.2525
0.9174 0.8348 0.7475
0.5000 0.0000 0.5000